VASP calculation (PBEsol) on a relaxed structure of YZnP.

Computed properties:
DFT formation energy	-540	meV/atom
V	19.0	Å³/atom
density of states at the Fermi level	3.20	states/eV per cell
E_tot	-0.3875	Ry per atom
total magnetic moment	0.0	Bohr magnetons per cell

Cell lengths 4.219, 5.405, 10.012 Å; angles 90.00, 90.00, 90.00 degrees
Space group Fmm2 (No. 42)
Asymmetric unit:
Y (0.000, 0.000, 0.000) (multiplicity 4)
Zn (0.000, 0.000, 0.300) (multiplicity 4)
P (0.000, 0.000, 0.677) (multiplicity 4)